1.
KScCr2: relaxed, PBE.

```
4
Lattice="3.884 -3.950 0.000 3.884 3.950 0.000 0.000 0.000 3.223" Properties=species:S:1:pos:R:3 pbc="T T T"
K 0.000 0.000 0.000
Sc 3.884 0.000 0.000
Cr 1.942 1.975 1.611
Cr 1.942 -1.975 1.611
```

Space-group type: Cmmm (65)
Relative energy among the computed polymorphs in eV per atom: 0.529
Formation energy in eV/atom: 1.09
Final energy in eV per cell: -22.3

2.
KSc2Cr: relaxed, PBE.

```
4
Lattice="-1.597 2.331 8.431 1.597 -2.331 8.431 1.597 2.331 -8.431" Properties=species:S:1:pos:R:3 pbc="T T T"
K 0.000 0.000 0.000
Sc 1.597 0.000 5.130
Sc 0.000 0.000 11.481
Cr 0.000 2.331 5.250
```

Space-group type: Imm2 (44)
Relative energy among the computed polymorphs in eV per atom: 0.296
Formation energy in eV/atom: 0.66
Final energy in eV per cell: -20.7